Computed, not measured: an optimized crystal structure of Ce2PuTe at the PBE level of DFT.

Output
V = 104 Å³ per cell
energy above the lowest structure with this stoichiometry = 0.0 kJ/mol of atoms

Unit cell a=4.7756 b=4.7756 c=4.5533 alpha=90.00 beta=90.00 gamma=90.00
Space group P4/mmm (No. 123)
Unique sites:
Ce1 0.0000 0.5000 0.0000
Pu1 0.0000 0.0000 0.5000
Te1 0.5000 0.5000 0.5000